Density functional theory data (GGA+U) for an optimized crystal structure of SrTl2Ni3F12.

Cell lengths 7.5044, 7.5044, 14.8426 Å; angles 90.00, 90.00, 120.00 degrees
Space group R-3m (No. 166, hexagonal axes)
Inequivalent atoms, fractional coordinates:
1 Sr 0.0000 0.0000 0.0000 (multiplicity 3)
2 Tl 0.0000 0.0000 0.4010 (multiplicity 6)
3 Ni 0.0000 0.5000 0.5000 (multiplicity 9)
4 F 0.0756 0.5378 0.3680 (multiplicity 18)
5 F 0.0803 0.5401 0.8028 (multiplicity 18)

Computed properties:
Calculated total energy ... -77.6 eV per formula unit